First-principles (PBE) data for a relaxed structure of CaSb2H, as listed in Alexandria via LeMat-Bulk.

a = 8.3204 Å, b = 8.3204 Å, c = 8.3204 Å
α = 141.63°, β = 141.63°, γ = 55.39°
With the nearest neighbours (Å) after each atom.
Sites, in units of the cell vectors:
1 Ca 0.0000 0.0000 0.0000  4 Sb 3.21
2 Ca 0.7500 0.2500 0.5000  4 Sb 3.21
3 Sb 0.2848 0.6250 0.1598  2 H 2.35
4 Sb 0.3750 0.5348 0.6598  2 H 2.35
5 Sb 0.4652 0.1250 0.8402  2 H 2.35
6 Sb 0.8750 0.7152 0.3402  2 H 2.35
7 H 0.2500 0.7500 0.5000  4 Sb 2.35
8 H 0.5000 0.5000 0.0000  4 Sb 2.35

**Energy above the most stable polymorph in this dataset**: 0 meV per atom

---

First-principles (PBE) data for a relaxed structure of Ca4Sb2H3, as listed in Alexandria via LeMat-Bulk.

a = 7.7333 Å, b = 7.7333 Å, c = 8.3888 Å
α = 90.00°, β = 90.00°, γ = 127.82°
With the nearest neighbours (Å) after each atom.
Sites, in units of the cell vectors:
1 Ca 0.2009 0.2991 0.7500  1 H 2.27
2 Ca 0.2015 0.7985 0.8834  2 H 2.36
3 Ca 0.2985 0.7015 0.3834  2 H 2.36
4 Ca 0.2991 0.2009 0.2500  1 H 2.27
5 Ca 0.7009 0.7991 0.7500  1 H 2.27
6 Ca 0.7015 0.2985 0.6166  2 H 2.36
7 Ca 0.7985 0.2015 0.1166  2 H 2.36
8 Ca 0.7991 0.7009 0.2500  1 H 2.27
9 Sb 0.1055 0.8945 0.5596  6 Ca 3.03-3.20, 1 Sb 3.10
10 Sb 0.3945 0.6055 0.0596  6 Ca 3.03-3.20, 1 Sb 3.10
11 Sb 0.6055 0.3945 0.9404  6 Ca 3.03-3.20, 1 Sb 3.10
12 Sb 0.8945 0.1055 0.4404  6 Ca 3.03-3.20, 1 Sb 3.10
13 H 0.0000 0.0000 0.0000  6 Ca 2.78-2.97
14 H 0.0377 0.4623 0.7500  3 Ca 2.27-2.36
15 H 0.4623 0.0377 0.2500  3 Ca 2.27-2.36
16 H 0.5000 0.5000 0.5000  6 Ca 2.78-2.97
17 H 0.5377 0.9623 0.7500  3 Ca 2.27-2.36
18 H 0.9623 0.5377 0.2500  3 Ca 2.27-2.36

**Total DFT energy (no corrections)**: -3.499 eV per atom

---

First-principles (PBE) data for a relaxed structure of Ca3Sb2H3, as listed in Alexandria via LeMat-Bulk.

a = 7.7838 Å, b = 7.7838 Å, c = 3.1729 Å
α = 90.00°, β = 90.00°, γ = 120.00°
With the nearest neighbours (Å) after each atom.
Sites, in units of the cell vectors:
1 Ca 0.0000 0.2612 0.0000  4 H 2.40
2 Ca 0.2612 0.0000 0.0000  4 H 2.40
3 Ca 0.7388 0.7388 0.0000  4 H 2.40
4 Sb 0.3333 0.6667 0.5000  2 Sb 3.17, 6 Ca 3.32, 3 H 3.34
5 Sb 0.6667 0.3333 0.5000  2 Sb 3.17, 6 Ca 3.32, 3 H 3.34
6 H 0.0000 0.8172 0.5000  4 Ca 2.40, 2 H 2.46
7 H 0.1828 0.1828 0.5000  4 Ca 2.40, 2 H 2.46
8 H 0.8172 0.0000 0.5000  4 Ca 2.40, 2 H 2.46

**Total DFT energy (no corrections)**: -3.428 eV per atom

---

First-principles (PBE) data for a relaxed structure of Ca2SbH3, as listed in Alexandria via LeMat-Bulk.

a = 6.9326 Å, b = 6.9326 Å, c = 9.9494 Å
α = 116.17°, β = 116.17°, γ = 30.00°
With the nearest neighbours (Å) after each atom.
Sites, in units of the cell vectors:
1 Ca 0.0060 0.0060 0.2589  4 H 2.19-2.27
2 Ca 0.3276 0.3276 0.9060  6 H 2.21-2.33
3 Ca 0.6724 0.6724 0.0940  6 H 2.21-2.33
4 Ca 0.9940 0.9940 0.7411  4 H 2.19-2.27
5 Sb 0.3726 0.3726 0.4203  1 H 2.78, 1 Sb 3.04
6 Sb 0.6274 0.6274 0.5797  1 H 2.78, 1 Sb 3.04
7 H 0.1481 0.1481 0.2062  3 Ca 2.19-2.21
8 H 0.1672 0.1672 0.9421  4 Ca 2.27-2.33
9 H 0.4968 0.4968 0.1265  3 Ca 2.20-2.33
10 H 0.5032 0.5032 0.8735  3 Ca 2.20-2.33
11 H 0.8328 0.8328 0.0579  4 Ca 2.27-2.33
12 H 0.8519 0.8519 0.7938  3 Ca 2.19-2.21

**Total DFT energy (no corrections)**: -3.534 eV per atom

---

First-principles (PBE) data for a relaxed structure of Ca2Sb2H, as listed in Alexandria via LeMat-Bulk.

a = 7.2024 Å, b = 7.2024 Å, c = 4.9684 Å
α = 90.00°, β = 90.00°, γ = 90.00°
With the nearest neighbours (Å) after each atom.
Sites, in units of the cell vectors:
1 Ca 0.1770 0.3230 0.0000  2 H 2.65
2 Ca 0.3230 0.8230 0.0000  2 H 2.65
3 Ca 0.6770 0.1770 0.0000  2 H 2.65
4 Ca 0.8230 0.6770 0.0000  2 H 2.65
5 Sb 0.1383 0.6383 0.5000  1 Sb 2.82, 2 Ca 3.12
6 Sb 0.3617 0.1383 0.5000  1 Sb 2.82, 2 Ca 3.12
7 Sb 0.6383 0.8617 0.5000  1 Sb 2.82, 2 Ca 3.12
8 Sb 0.8617 0.3617 0.5000  1 Sb 2.82, 2 Ca 3.12
9 H 0.0000 0.0000 0.0000  4 Ca 2.65
10 H 0.5000 0.5000 0.0000  4 Ca 2.65

**Total DFT energy (no corrections)**: -3.646 eV per atom

---

First-principles (PBE) data for a relaxed structure of Ca12Sb3H5, as listed in Alexandria via LeMat-Bulk.

a = 14.0324 Å, b = 14.0324 Å, c = 14.0324 Å
α = 109.47°, β = 109.47°, γ = 109.47°
With the nearest neighbours (Å) after each atom.
Sites, in units of the cell vectors:
1 Ca 0.0150 0.2094 0.1152  1 H 2.25
2 Ca 0.0150 0.3056 0.8998  1 H 2.25
3 Ca 0.0942 0.7094 0.6944  1 H 2.25
4 Ca 0.0942 0.8848 0.3998  1 H 2.25
5 Ca 0.1002 0.6152 0.4058  1 H 2.25
6 Ca 0.1002 0.9850 0.6944  1 H 2.25
7 Ca 0.1152 0.0150 0.2094  1 H 2.25
8 Ca 0.1152 0.6002 0.9058  1 H 2.25
9 Ca 0.1944 0.2094 0.5942  1 H 2.25
10 Ca 0.1944 0.4850 0.6002  1 H 2.25
11 Ca 0.2094 0.1152 0.0150  1 H 2.25
12 Ca 0.2094 0.5942 0.1944  1 H 2.25
13 Ca 0.2906 0.3056 0.9058  1 H 2.25
14 Ca 0.2906 0.4850 0.3848  1 H 2.25
15 Ca 0.3056 0.8998 0.0150  1 H 2.25
16 Ca 0.3056 0.9058 0.2906  1 H 2.25
17 Ca 0.3848 0.2906 0.4850  1 H 2.25
18 Ca 0.3848 0.5942 0.8998  1 H 2.25
19 Ca 0.3998 0.0942 0.8848  1 H 2.25
20 Ca 0.3998 0.8056 0.5150  1 H 2.25
21 Ca 0.4058 0.1002 0.6152  1 H 2.25
22 Ca 0.4058 0.8056 0.7906  1 H 2.25
23 Ca 0.4850 0.3848 0.2906  1 H 2.25
24 Ca 0.4850 0.6002 0.1944  1 H 2.25
25 Ca 0.5150 0.3998 0.8056  1 H 2.25
26 Ca 0.5150 0.6152 0.7094  1 H 2.25
27 Ca 0.5942 0.1944 0.2094  1 H 2.25
28 Ca 0.5942 0.8998 0.3848  1 H 2.25
29 Ca 0.6002 0.1944 0.4850  1 H 2.25
30 Ca 0.6002 0.9058 0.1152  1 H 2.25
31 Ca 0.6152 0.4058 0.1002  1 H 2.25
32 Ca 0.6152 0.7094 0.5150  1 H 2.25
33 Ca 0.6944 0.0942 0.7094  1 H 2.25
34 Ca 0.6944 0.1002 0.9850  1 H 2.25
35 Ca 0.7094 0.5150 0.6152  1 H 2.25
36 Ca 0.7094 0.6944 0.0942  1 H 2.25
37 Ca 0.7906 0.4058 0.8056  1 H 2.25
38 Ca 0.7906 0.8848 0.9850  1 H 2.25
39 Ca 0.8056 0.5150 0.3998  1 H 2.25
40 Ca 0.8056 0.7906 0.4058  1 H 2.25
41 Ca 0.8848 0.3998 0.0942  1 H 2.25
42 Ca 0.8848 0.9850 0.7906  1 H 2.25
43 Ca 0.8998 0.0150 0.3056  1 H 2.25
44 Ca 0.8998 0.3848 0.5942  1 H 2.25
45 Ca 0.9058 0.1152 0.6002  1 H 2.25
46 Ca 0.9058 0.2906 0.3056  1 H 2.25
47 Ca 0.9850 0.6944 0.1002  1 H 2.25
48 Ca 0.9850 0.7906 0.8848  1 H 2.25
49 Sb 0.1250 0.2500 0.3750  8 Ca 3.20-3.27
50 Sb 0.1250 0.3750 0.7500  8 Ca 3.20-3.27
51 Sb 0.2500 0.3750 0.1250  8 Ca 3.20-3.27
52 Sb 0.2500 0.8750 0.6250  8 Ca 3.20-3.27
53 Sb 0.3750 0.1250 0.2500  8 Ca 3.20-3.27
54 Sb 0.3750 0.7500 0.1250  8 Ca 3.20-3.27
55 Sb 0.6250 0.2500 0.8750  8 Ca 3.20-3.27
56 Sb 0.6250 0.8750 0.7500  8 Ca 3.20-3.27
57 Sb 0.7500 0.1250 0.3750  8 Ca 3.20-3.27
58 Sb 0.7500 0.6250 0.8750  8 Ca 3.20-3.27
59 Sb 0.8750 0.6250 0.2500  8 Ca 3.20-3.27
60 Sb 0.8750 0.7500 0.6250  8 Ca 3.20-3.27
61 H 0.0000 0.0000 0.0000  6 Ca 2.74
62 H 0.0000 0.0000 0.5000  6 Ca 2.74
63 H 0.0000 0.5000 0.0000  6 Ca 2.74
64 H 0.0000 0.5000 0.5000  6 Ca 2.74
65 H 0.1250 0.7500 0.8750  4 Ca 2.25
66 H 0.1250 0.8750 0.2500  4 Ca 2.25
67 H 0.2500 0.1250 0.8750  4 Ca 2.25
68 H 0.2500 0.6250 0.3750  4 Ca 2.25
69 H 0.3750 0.2500 0.6250  4 Ca 2.25
70 H 0.3750 0.6250 0.7500  4 Ca 2.25
71 H 0.5000 0.0000 0.0000  6 Ca 2.74
72 H 0.5000 0.0000 0.5000  6 Ca 2.74
73 H 0.5000 0.5000 0.0000  6 Ca 2.74
74 H 0.5000 0.5000 0.5000  6 Ca 2.74
75 H 0.6250 0.3750 0.2500  4 Ca 2.25
76 H 0.6250 0.7500 0.3750  4 Ca 2.25
77 H 0.7500 0.3750 0.6250  4 Ca 2.25
78 H 0.7500 0.8750 0.1250  4 Ca 2.25
79 H 0.8750 0.1250 0.7500  4 Ca 2.25
80 H 0.8750 0.2500 0.1250  4 Ca 2.25

**Total DFT energy (no corrections)**: -3.151 eV per atom

---

Number 1: magnetization 0.000 Bohr magnetons per cell, density 4.3 Mg/m³. Number 2: magnetization 0.000 Bohr magnetons per cell, density 3.4 Mg/m³. Number 3: magnetization 0.000 Bohr magnetons per cell, density 3.7 Mg/m³. Number 4: magnetization 0.000 Bohr magnetons per cell, density 3.2 Mg/m³. Number 5: magnetization 0.000 Bohr magnetons per cell, density 4.2 Mg/m³. Number 6: magnetization 0.000 Bohr magnetons per cell, density 2.7 Mg/m³.